# 1
Density functional theory data (PBE) for an optimized crystal structure of Ce2ErIn.

Computed properties:
Total magnetic moment   0.00 μB/f.u.
Relative energy among the computed polymorphs   54 meV/atom
E   -0.18314 Ha/atom
E_form   -0.19 eV/atom

a = 4.545 Å, b = 4.291 Å, c = 11.489 Å
α = 90.00°, β = 99.35°, γ = 90.00°
Space group P2_1/m (No. 11)
Asymmetric unit:
Ce (0.003, 0.250, 0.113) [2 per cell]
Ce (0.389, 0.250, 0.881) [2 per cell]
Er (0.302, 0.750, 0.606) [2 per cell]
In (0.178, 0.750, 0.330) [2 per cell]



# 2
Density functional theory data (PBE) for an optimized crystal structure of Ce2ErIn9.

Computed properties:
Total magnetic moment   1.53 μB/f.u.
E   -0.14064 Ha/atom
E_form   -0.40 eV/atom

a = 4.683 Å, b = 4.683 Å, c = 14.023 Å
α = 90.00°, β = 90.00°, γ = 90.00°
Space group P4/mmm (No. 123)
Asymmetric unit:
Ce (0.000, 0.000, 0.170) [2 per cell]
Er (0.000, 0.000, 0.500) [1 per cell]
In (0.000, 0.500, 0.000) [2 per cell]
In (0.000, 0.500, 0.337) [4 per cell]
In (0.500, 0.500, 0.167) [2 per cell]
In (0.500, 0.500, 0.500) [1 per cell]



# 3
Density functional theory data (PBE) for an optimized crystal structure of CeEr5In4.

Computed properties:
Total magnetic moment   0.51 μB/f.u.
E   -0.15886 Ha/atom
E_form   -0.35 eV/atom

a = 3.488 Å, b = 3.488 Å, c = 21.903 Å
α = 90.00°, β = 90.00°, γ = 90.00°
Space group P4/mmm (No. 123)
Asymmetric unit:
Ce (0.000, 0.000, 0.000) [1 per cell]
Er (0.500, 0.500, 0.111) [2 per cell]
Er (0.500, 0.500, 0.306) [2 per cell]
Er (0.500, 0.500, 0.500) [1 per cell]
In (0.000, 0.000, 0.208) [2 per cell]
In (0.000, 0.000, 0.403) [2 per cell]